(1)
Below is a geometry-optimized KCu3S2 structure, with properties calculated at the GGA-PBEsol level.

a b c (Å): 14.3365 3.8177 8.1336
angles (deg): 90.00 113.01 90.00
Space group C2/m (No. 12)
Inequivalent atoms, fractional coordinates:
K: 0.1359 0.0000 0.0459 x4
Cu: 0.0609 0.0000 0.4069 x4
Cu: 0.0924 0.5000 0.6386 x4
Cu: 0.1889 0.5000 0.4243 x4
S: 0.0218 0.5000 0.2343 x4
S: 0.1929 0.0000 0.6872 x4

- Raw formation energy: -285 kJ/mol of formula units
- E_tot: -25.9 eV per formula unit

(2)
Below is a geometry-optimized TiZnO2F structure, with properties calculated at the GGA-PBEsol level.

a b c (Å): 3.8363 3.8363 3.9275
angles (deg): 90.00 90.00 90.00
Space group P4/mmm (No. 123)
Inequivalent atoms, fractional coordinates:
Ti: 0.0000 0.0000 0.0000 x1
Zn: 0.5000 0.5000 0.5000 x1
O: 0.0000 0.5000 0.0000 x2
F: 0.0000 0.0000 0.5000 x1

- Raw formation energy: -984 kJ/mol of formula units
- E_tot: -32.5 eV per formula unit

(3)
Below is a geometry-optimized BaLi2Ca structure, with properties calculated at the GGA-PBEsol level.

a b c (Å): 8.2880 8.2880 8.2880
angles (deg): 90.00 90.00 90.00
Space group Fm-3m (No. 225)
Inequivalent atoms, fractional coordinates:
Ba: 0.0000 0.0000 0.0000 x4
Li: 0.2500 0.2500 0.2500 x8
Ca: 0.0000 0.0000 0.5000 x4

- ΔH_f (0 K): 0.0352 eV per atom
- E_tot: -8.1 eV per formula unit

(4)
Below is a geometry-optimized Co5Pb structure, with properties calculated at the GGA-PBEsol level.

a b c (Å): 2.9407 2.9407 8.8751
angles (deg): 90.00 90.00 90.00
Space group P4/mmm (No. 123)
Inequivalent atoms, fractional coordinates:
Co: 0.0000 0.0000 0.0000 x1
Co: 0.0000 0.0000 0.2791 x2
Co: 0.5000 0.5000 0.1381 x2
Pb: 0.5000 0.5000 0.5000 x1

- ΔH_f (0 K): 0.3487 eV per atom
- E_tot: -40.6 eV per formula unit

(5)
Below is a geometry-optimized CeB4 structure, with properties calculated at the GGA-PBEsol level.

a b c (Å): 7.1271 7.1271 4.0403
angles (deg): 90.00 90.00 90.00
Space group P4/mbm (No. 127)
Inequivalent atoms, fractional coordinates:
Ce: 0.1874 0.3126 0.0000 x4
B: 0.0000 0.0000 0.2019 x4
B: 0.0388 0.8235 0.5000 x8
B: 0.0877 0.5877 0.5000 x4

- ΔH_f (0 K): -0.6501 eV per atom
- E_tot: -37.9 eV per formula unit

(6)
Below is a geometry-optimized LaZn2In structure, with properties calculated at the GGA-PBEsol level.

a b c (Å): 3.3944 3.3944 7.4178
angles (deg): 90.00 90.00 90.00
Space group P4mm (No. 99)
Inequivalent atoms, fractional coordinates:
La: 0.0000 0.0000 0.0000 x1
Zn: 0.0000 0.0000 0.4454 x1
Zn: 0.5000 0.5000 0.2856 x1
In: 0.5000 0.5000 0.6801 x1

- ΔH_f (0 K): -0.2047 eV per atom
- E_tot: -12.3 eV per formula unit

What is the E_tot in the fifth record? -37.9 eV per formula unit

Among the records above, which one has the highest E_tot? BaLi2Ca

E_tot of number 4 (Co5Pb)? -40.6 eV per formula unit

Among the records above, which one has the lowest E_tot? Co5Pb